Record 1
ScCuTc2: optimized geometry, GGA-PBE.

Lattice parameters (Å, degrees): 5.7205 5.7205 5.7205 100.97 100.97 128.26
With the nearest neighbours (Å) after each atom.
Positions (direct):
1 Sc 0.0000 0.0000 0.0000  2 Cu 2.50
2 Sc 0.7500 0.2500 0.5000  2 Cu 2.50
3 Cu 0.2500 0.7500 0.5000  4 Tc 2.49, 2 Sc 2.50
4 Cu 0.5000 0.5000 0.0000  4 Tc 2.49, 2 Sc 2.50
5 Tc 0.1577 0.6250 0.0327  2 Cu 2.49, 2 Tc 2.54
6 Tc 0.3750 0.4077 0.5327  2 Cu 2.49, 2 Tc 2.54
7 Tc 0.5923 0.1250 0.9673  2 Cu 2.49, 2 Tc 2.54
8 Tc 0.8750 0.8423 0.4673  2 Cu 2.49, 2 Tc 2.54

Computed properties:
Energy relative to the lowest polymorph listed for this composition (eV per atom): 0.585
Space group: I-42d, No. 122

Record 2
ScCuTc2: optimized geometry, GGA-PBE.

Lattice parameters (Å, degrees): 2.9141 4.2532 5.1407 90.00 101.22 90.00
With the nearest neighbours (Å) after each atom.
Positions (direct):
1 Sc 0.0000 0.0000 0.0000  2 Tc 2.60-2.83, 4 Cu 2.74-2.75
2 Cu 0.4296 0.5000 0.8130  5 Tc 2.66-2.83, 4 Sc 2.74-2.75, 2 Cu 2.91
3 Tc 0.3924 0.0000 0.4992  2 Tc 2.53, 2 Sc 2.60-2.83, 2 Cu 2.66
4 Tc 0.7305 0.5000 0.3464  2 Tc 2.53, 3 Cu 2.71-2.83

Computed properties:
Energy relative to the lowest polymorph listed for this composition (eV per atom): 0.097
Space group: Pm, No. 6

Record 3
ScCuTc2: optimized geometry, GGA-PBE.

Lattice parameters (Å, degrees): 3.0993 3.0993 6.5266 90.00 90.00 90.00
With the nearest neighbours (Å) after each atom.
Positions (direct):
1 Sc 0.0000 0.0000 0.0000  4 Cu 2.79, 4 Tc 2.88, 4 Sc 3.10
2 Cu 0.5000 0.5000 0.7345  5 Tc 2.68-2.92, 4 Sc 2.79
3 Tc 0.0000 0.0000 0.4975  4 Tc 2.59, 4 Cu 2.68
4 Tc 0.5000 0.5000 0.2872  4 Tc 2.59, 4 Sc 2.88

Computed properties:
Energy relative to the lowest polymorph listed for this composition (eV per atom): 0.000
Space group: P4mm, No. 99

Record 4
Sc5CuTc2: optimized geometry, GGA-PBE.

Lattice parameters (Å, degrees): 5.8283 11.2742 4.5501 90.00 90.00 90.00
With the nearest neighbours (Å) after each atom.
Positions (direct):
1 Sc 0.0000 0.0000 0.0000  4 Tc 2.90, 2 Cu 2.91, 6 Sc 3.16-3.20
2 Sc 0.1271 0.2726 0.0000  1 Cu 2.67, 2 Tc 2.81, 2 Sc 2.96
3 Sc 0.1734 0.6075 0.5000  2 Cu 2.77, 4 Tc 2.79-3.09
4 Sc 0.3266 0.1075 0.5000  2 Cu 2.77, 4 Tc 2.79-3.09
5 Sc 0.3729 0.7726 0.0000  1 Cu 2.67, 2 Tc 2.81, 2 Sc 2.96
6 Sc 0.5000 0.5000 0.0000  4 Tc 2.90, 2 Cu 2.91, 6 Sc 3.16-3.20
7 Sc 0.6271 0.2274 0.0000  1 Cu 2.67, 2 Tc 2.81, 2 Sc 2.96
8 Sc 0.6734 0.8925 0.5000  2 Cu 2.77, 4 Tc 2.79-3.09
9 Sc 0.8266 0.3925 0.5000  2 Cu 2.77, 4 Tc 2.79-3.09
10 Sc 0.8729 0.7274 0.0000  1 Cu 2.67, 2 Tc 2.81, 2 Sc 2.96
11 Cu 0.0000 0.5000 0.0000  8 Sc 2.67-2.91
12 Cu 0.5000 0.0000 0.0000  8 Sc 2.67-2.91
13 Tc 0.1474 0.8602 0.5000  8 Sc 2.79-3.09
14 Tc 0.3526 0.3602 0.5000  8 Sc 2.79-3.09
15 Tc 0.6474 0.6398 0.5000  8 Sc 2.79-3.09
16 Tc 0.8526 0.1398 0.5000  8 Sc 2.79-3.09

Computed properties:
Energy (eV/atom): -7.23
Space group: Pbam, No. 55